# 1
Entry from Alexandria via LeMat-Bulk: V2Pb2Se2O11 after structural relaxation (PBE with a Hubbard U).

uncorrected energy	-6.29	eV per atom
crystal system	triclinic

a = 6.9515 Å, b = 7.2941 Å, c = 10.0930 Å
α = 97.01°, β = 93.38°, γ = 95.43°
Sites, in units of the cell vectors:
V 0.1569 0.1613 0.4501
V 0.1664 0.0562 0.7515
V 0.8336 0.9438 0.2485
V 0.8431 0.8387 0.5499
Pb 0.3239 0.8553 0.1109
Pb 0.3712 0.5498 0.7519
Pb 0.6288 0.4502 0.2481
Pb 0.6761 0.1447 0.8891
Se 0.1572 0.5952 0.4004
Se 0.1663 0.3390 0.0459
Se 0.8337 0.6610 0.9541
Se 0.8428 0.4048 0.5996
O 0.0344 0.3681 0.3759
O 0.0502 0.1811 0.9090
O 0.0563 0.3002 0.6288
O 0.1302 0.0228 0.2921
O 0.1675 0.9760 0.5658
O 0.2367 0.5304 0.9648
O 0.2441 0.8764 0.8209
O 0.2660 0.6000 0.2535
O 0.3694 0.2166 0.7730
O 0.3791 0.2676 0.4654
O 0.3808 0.2468 0.0771
O 0.6192 0.7532 0.9229
O 0.6209 0.7324 0.5346
O 0.6306 0.7834 0.2270
O 0.7340 0.4000 0.7465
O 0.7559 0.1236 0.1791
O 0.7633 0.4696 0.0352
O 0.8325 0.0240 0.4342
O 0.8698 0.9772 0.7079
O 0.9437 0.6998 0.3712
O 0.9498 0.8189 0.0910
O 0.9656 0.6319 0.6241

---

# 2
Entry from Alexandria via LeMat-Bulk: V2Pb4Se6O21 after structural relaxation (PBE with a Hubbard U).

uncorrected energy	-5.85	eV per atom
crystal system	orthorhombic

a = 14.5601 Å, b = 9.1749 Å, c = 14.3301 Å
α = 72.85°, β = 37.02°, γ = 70.13°
Sites, in units of the cell vectors:
V 0.2586 0.7414 0.4750
V 0.7250 0.7750 0.5086
V 0.7414 0.2586 0.5250
V 0.7750 0.7250 0.9914
Pb 0.0638 0.4488 0.3537
Pb 0.1163 0.8963 0.8012
Pb 0.2817 0.2981 0.9653
Pb 0.2847 0.7951 0.9683
Pb 0.2981 0.2817 0.4549
Pb 0.4488 0.0638 0.1337
Pb 0.7951 0.2847 0.9519
Pb 0.8963 0.1163 0.1862
Se 0.0152 0.0881 0.6086
Se 0.0881 0.0152 0.2881
Se 0.0967 0.3912 0.8532
Se 0.3912 0.0967 0.6589
Se 0.3968 0.5911 0.1533
Se 0.4803 0.5862 0.6236
Se 0.5862 0.4803 0.3099
Se 0.5911 0.3968 0.8588
Se 0.6264 0.9401 0.7697
Se 0.6414 0.9619 0.2348
Se 0.9401 0.6264 0.6638
Se 0.9619 0.6414 0.1619
O 0.0146 0.1009 0.7282
O 0.0197 0.2595 0.8762
O 0.0251 0.8147 0.0915
O 0.0511 0.3511 0.0090
O 0.0643 0.8883 0.5844
O 0.0937 0.5218 0.1491
O 0.1009 0.0146 0.1563
O 0.1346 0.5933 0.5523
O 0.1585 0.1813 0.2249
O 0.1813 0.1585 0.4353
O 0.2410 0.6611 0.1989
O 0.2595 0.0197 0.8446
O 0.2871 0.6157 0.7933
O 0.2880 0.7938 0.5520
O 0.3073 0.3073 0.6927
O 0.3511 0.0511 0.5889
O 0.3669 0.8241 0.2975
O 0.3738 0.4054 0.2303
O 0.3988 0.5313 0.4053
O 0.4054 0.3738 0.9905
O 0.4567 0.9461 0.9629
O 0.5218 0.0937 0.2354
O 0.5303 0.6977 0.6567
O 0.5313 0.3988 0.6646
O 0.5573 0.5573 0.9427
O 0.5854 0.8447 0.7187
O 0.5933 0.1346 0.7197
O 0.6157 0.2871 0.3039
O 0.6611 0.2410 0.8989
O 0.6656 0.7870 0.1857
O 0.6977 0.5303 0.1154
O 0.6980 0.8837 0.9620
O 0.7385 0.9525 0.4259
O 0.7870 0.6656 0.3617
O 0.7938 0.2880 0.3663
O 0.8147 0.0251 0.0687
O 0.8241 0.3669 0.5115
O 0.8447 0.5854 0.8512
O 0.8837 0.6980 0.4562
O 0.8883 0.0643 0.4630
O 0.9461 0.4567 0.6343
O 0.9525 0.7385 0.8831

---

# 3
Entry from Alexandria via LeMat-Bulk: VPbSe2O8 after structural relaxation (PBE with a Hubbard U).

uncorrected energy	-5.82	eV per atom
crystal system	monoclinic

a = 5.0473 Å, b = 5.0473 Å, c = 6.6250 Å
α = 90.85°, β = 90.85°, γ = 84.16°
Sites, in units of the cell vectors:
V 0.0000 0.0000 0.0000
Pb 0.0000 0.0000 0.5000
Se 0.4267 0.4267 0.2287
Se 0.5733 0.5733 0.7713
O 0.1607 0.7833 0.2050
O 0.2167 0.8393 0.7950
O 0.2673 0.2673 0.0407
O 0.3134 0.3134 0.4490
O 0.6866 0.6866 0.5510
O 0.7327 0.7327 0.9593
O 0.7833 0.1607 0.2050
O 0.8393 0.2167 0.7950